# 1
UH2Cl6: relaxed, GGA-PBE.

## Properties
Space-group type ... P2_1/c (14)
Crystal system ... monoclinic
VASP energy ... -78.6 eV/cell

abc: 6.0188 7.5068 13.6598
angles: 90.00 116.08 90.00
Element x y z (fractional)
U 0.0000 0.0000 0.0000
U 0.0000 0.5000 0.5000
H 0.3732 0.0521 0.8479
H 0.3732 0.4479 0.3479
H 0.6268 0.5521 0.6521
H 0.6268 0.9479 0.1521
Cl 0.1332 0.7128 0.9484
Cl 0.1332 0.7872 0.4484
Cl 0.1659 0.1791 0.8774
Cl 0.1659 0.3209 0.3774
Cl 0.4607 0.0446 0.1817
Cl 0.4607 0.4554 0.6817
Cl 0.5393 0.5446 0.3183
Cl 0.5393 0.9554 0.8183
Cl 0.8341 0.6791 0.6226
Cl 0.8341 0.8209 0.1226
Cl 0.8668 0.2128 0.5516
Cl 0.8668 0.2872 0.0516


# 2
Ho2Er3Tm7: relaxed, GGA-PBE.

## Properties
Space-group type ... Cmmm (65)
Crystal system ... orthorhombic
Energy of formation ... 0.17 eV per atom
Excess energy over the best structure of this formula in the dataset ... 81.1 meV/atom

abc: 18.6001 18.6001 3.5359
angles: 90.00 90.00 162.32
Element x y z (fractional)
Ho 0.1756 0.8244 0.0000
Ho 0.8244 0.1756 0.0000
Er 0.3501 0.6499 0.5000
Er 0.5000 0.5000 0.5000
Er 0.6499 0.3501 0.5000
Tm 0.0000 0.0000 0.0000
Tm 0.0901 0.9099 0.5000
Tm 0.2706 0.7294 0.0000
Tm 0.4275 0.5725 0.0000
Tm 0.5725 0.4275 0.0000
Tm 0.7294 0.2706 0.0000
Tm 0.9099 0.0901 0.5000


# 3
HfBi3Ir: relaxed, GGA-PBE.

## Properties
Space-group type ... Pm-3m (221)
Crystal system ... cubic
Energy of formation ... 1.24 eV per atom
Excess energy over the best structure of this formula in the dataset ... 415.5 meV/atom

abc: 5.5148 5.5148 5.5148
angles: 90.00 90.00 90.00
Element x y z (fractional)
Hf 0.0000 0.0000 0.0000
Bi 0.0000 0.0000 0.5000
Bi 0.0000 0.5000 0.0000
Bi 0.5000 0.0000 0.0000
Ir 0.5000 0.5000 0.5000


# 4
Mg5AgAu6: relaxed, GGA-PBE.

## Properties
Space-group type ... Immm (71)
Crystal system ... orthorhombic
Energy of formation ... -0.53 eV per atom

abc: 8.0239 8.0239 8.0239
angles: 146.48 130.13 61.43
Element x y z (fractional)
Mg 0.0000 0.0000 0.0000
Mg 0.1701 0.6701 0.5000
Mg 0.3416 0.3416 0.0000
Mg 0.6584 0.6584 0.0000
Mg 0.8299 0.3299 0.5000
Ag 0.5000 0.0000 0.5000
Au 0.0697 0.8288 0.2409
Au 0.2322 0.5000 0.7322
Au 0.4121 0.1712 0.2409
Au 0.5879 0.8288 0.7591
Au 0.7678 0.5000 0.2678
Au 0.9303 0.1712 0.7591


# 5
Eu3Zn5H12: relaxed, GGA-PBE.

## Properties
Space-group type ... Ia-3d (230)
Crystal system ... cubic
VASP energy ... -319.1 eV/cell

abc: 10.5626 10.5626 10.5626
angles: 109.47 109.47 109.47
Element x y z (fractional)
Eu 0.1250 0.2500 0.3750
Eu 0.1250 0.3750 0.7500
Eu 0.2500 0.3750 0.1250
Eu 0.2500 0.8750 0.6250
Eu 0.3750 0.1250 0.2500
Eu 0.3750 0.7500 0.1250
Eu 0.6250 0.2500 0.8750
Eu 0.6250 0.8750 0.7500
Eu 0.7500 0.1250 0.3750
Eu 0.7500 0.6250 0.8750
Eu 0.8750 0.6250 0.2500
Eu 0.8750 0.7500 0.6250
Zn 0.0000 0.0000 0.0000
Zn 0.0000 0.0000 0.5000
Zn 0.0000 0.5000 0.0000
Zn 0.0000 0.5000 0.5000
Zn 0.1250 0.7500 0.8750
Zn 0.1250 0.8750 0.2500
Zn 0.2500 0.1250 0.8750
Zn 0.2500 0.6250 0.3750
Zn 0.3750 0.2500 0.6250
Zn 0.3750 0.6250 0.7500
Zn 0.5000 0.0000 0.0000
Zn 0.5000 0.0000 0.5000
Zn 0.5000 0.5000 0.0000
Zn 0.5000 0.5000 0.5000
Zn 0.6250 0.3750 0.2500
Zn 0.6250 0.7500 0.3750
Zn 0.7500 0.3750 0.6250
Zn 0.7500 0.8750 0.1250
Zn 0.8750 0.1250 0.7500
Zn 0.8750 0.2500 0.1250
H 0.0195 0.2101 0.1172
H 0.0195 0.3094 0.9023
H 0.0929 0.7101 0.6906
H 0.0929 0.8828 0.4023
H 0.0977 0.6172 0.4071
H 0.0977 0.9805 0.6906
H 0.1172 0.0195 0.2101
H 0.1172 0.5977 0.9071
H 0.1906 0.2101 0.5929
H 0.1906 0.4805 0.5977
H 0.2101 0.1172 0.0195
H 0.2101 0.5929 0.1906
H 0.2899 0.3094 0.9071
H 0.2899 0.4805 0.3828
H 0.3094 0.9023 0.0195
H 0.3094 0.9071 0.2899
H 0.3828 0.2899 0.4805
H 0.3828 0.5929 0.9023
H 0.4023 0.0929 0.8828
H 0.4023 0.8094 0.5195
H 0.4071 0.0977 0.6172
H 0.4071 0.8094 0.7899
H 0.4805 0.3828 0.2899
H 0.4805 0.5977 0.1906
H 0.5195 0.4023 0.8094
H 0.5195 0.6172 0.7101
H 0.5929 0.1906 0.2101
H 0.5929 0.9023 0.3828
H 0.5977 0.1906 0.4805
H 0.5977 0.9071 0.1172
H 0.6172 0.4071 0.0977
H 0.6172 0.7101 0.5195
H 0.6906 0.0929 0.7101
H 0.6906 0.0977 0.9805
H 0.7101 0.5195 0.6172
H 0.7101 0.6906 0.0929
H 0.7899 0.4071 0.8094
H 0.7899 0.8828 0.9805
H 0.8094 0.5195 0.4023
H 0.8094 0.7899 0.4071
H 0.8828 0.4023 0.0929
H 0.8828 0.9805 0.7899
H 0.9023 0.0195 0.3094
H 0.9023 0.3828 0.5929
H 0.9071 0.1172 0.5977
H 0.9071 0.2899 0.3094
H 0.9805 0.6906 0.0977
H 0.9805 0.7899 0.8828


# 6
Pm2Zn2Cu5Ni: relaxed, GGA-PBE.

## Properties
Space-group type ... P4/mbm (127)
Crystal system ... tetragonal
Energy of formation ... -0.03 eV per atom

abc: 10.0968 10.0968 3.2438
angles: 90.00 90.00 90.00
Element x y z (fractional)
Pm 0.1759 0.3241 0.0000
Pm 0.3241 0.8241 0.0000
Pm 0.6759 0.1759 0.0000
Pm 0.8241 0.6759 0.0000
Zn 0.1263 0.6263 0.0000
Zn 0.3737 0.1263 0.0000
Zn 0.6263 0.8737 0.0000
Zn 0.8737 0.3737 0.0000
Cu 0.0000 0.5000 0.5000
Cu 0.0527 0.8188 0.5000
Cu 0.1812 0.0527 0.5000
Cu 0.3188 0.5527 0.5000
Cu 0.4473 0.3188 0.5000
Cu 0.5000 0.0000 0.5000
Cu 0.5527 0.6812 0.5000
Cu 0.6812 0.4473 0.5000
Cu 0.8188 0.9473 0.5000
Cu 0.9473 0.1812 0.5000
Ni 0.0000 0.0000 0.0000
Ni 0.5000 0.5000 0.0000


# 7
Ho3Pa: relaxed, GGA-PBE.

## Properties
Space-group type ... Imm2 (44)
Crystal system ... orthorhombic
Energy of formation ... 0.18 eV per atom
Excess energy over the best structure of this formula in the dataset ... 0.0 meV/atom

abc: 3.4358 11.2899 6.0325
angles: 90.00 90.00 90.00
Element x y z (fractional)
Ho 0.0000 0.0000 0.0000
Ho 0.0000 0.2445 0.3349
Ho 0.0000 0.7555 0.3349
Ho 0.5000 0.2555 0.8349
Ho 0.5000 0.5000 0.5000
Ho 0.5000 0.7445 0.8349
Pa 0.0000 0.5000 0.9928
Pa 0.5000 0.0000 0.4928


# 8
Ca3In2Cu7: relaxed, GGA-PBE.

## Properties
Space-group type ... R-3m (166)
Crystal system ... trigonal
Energy of formation ... -0.12 eV per atom

abc: 9.2059 9.2059 9.2059
angles: 34.38 34.38 34.38
Element x y z (fractional)
Ca 0.0000 0.0000 0.0000
Ca 0.1424 0.1424 0.1424
Ca 0.8576 0.8576 0.8576
In 0.3305 0.3305 0.3305
In 0.6695 0.6695 0.6695
Cu 0.0946 0.5844 0.5844
Cu 0.4156 0.4156 0.9054
Cu 0.4156 0.9054 0.4156
Cu 0.5000 0.5000 0.5000
Cu 0.5844 0.0946 0.5844
Cu 0.5844 0.5844 0.0946
Cu 0.9054 0.4156 0.4156


| no. | N(E_F) (states/eV per cell) | M_tot (μB/f.u.) |
| --- | --- | --- |
| 1 | 2.01 | 2.00 |
| 2 | 20.81 | 0.00 |
| 3 | 7.51 | 1.46 |
| 4 | 3.64 | 0.00 |
| 5 | 3.67 | 21.03 |
| 6 | 10.81 | 0.00 |
| 7 | 13.96 | 0.00 |
| 8 | 6.24 | 0.00 |